Computed, not measured: a relaxed structure of Zn2CdIr at the PBE level of DFT.

Summary:
calculated volume	62.6	Å³/cell
DOS(E_F)	1.6	states/eV/cell
SG	Cmmm, No. 65
crystal system	orthorhombic
final energy	-12.4	eV for the cell shown
energy relative to the elements	-8	meV/atom

a b c (Å): 4.6090 4.6090 3.0295
angles (deg): 90.00 90.00 103.43
With the nearest neighbours (Å) after each atom.
Fractional positions:
Cd 0.5000 0.0000 0.5000  8 Zn 2.76, 2 Ir 2.86, 2 Cd 3.03
Ir 0.0000 0.5000 0.5000  8 Zn 2.76, 2 Cd 2.86, 2 Ir 3.03
Zn 0.0000 0.0000 0.0000  4 Cd 2.76, 4 Ir 2.76, 4 Zn 2.86-3.03
Zn 0.5000 0.5000 0.0000  4 Ir 2.76, 4 Cd 2.76, 4 Zn 2.86-3.03